{
  "formula": "MnTlP2",
  "functional": "PBEsol",
  "state": "optimized geometry",
  "total_energy_ry_per_atom": -0.43367,
  "delta_e_f_ev_per_atom": 0.093,
  "space_group": "No. 141",
  "lattice_angstrom": [[5.440, 0.000, 0.000], [0.000, 5.440, 0.000], [0.000, 0.000, 12.401]],
  "species": ["Mn", "Mn", "Mn", "Mn", "Tl", "Tl", "Tl", "Tl", "P", "P", "P", "P", "P", "P", "P", "P"],
  "fractional_positions": [[0.000, 0.250, 0.375], [0.000, 0.750, 0.625], [0.500, 0.250, 0.125], [0.500, 0.750, 0.875], [0.000, 0.250, 0.875], [0.000, 0.750, 0.125], [0.500, 0.250, 0.625], [0.500, 0.750, 0.375], [0.000, 0.000, 0.500], [0.000, 0.500, 0.500], [0.250, 0.250, 0.250], [0.250, 0.750, 0.750], [0.500, 0.000, 0.000], [0.500, 0.500, 0.000], [0.750, 0.250, 0.250], [0.750, 0.750, 0.750]]
}